## 1
Here is crystalline MgRe2Pb at its relaxed geometry from Alexandria. Energies are from GGA-PBE. Values from VASP.

Crystal system: tetragonal
Density (kg/m³): 12609

```
&SYSTEM
  ibrav = 0, nat = 8, ntyp = 3
/
ATOMIC_SPECIES
Pb 207.20 Pb.upf
Re 186.21 Re.upf
Mg 24.30 Mg.upf
ATOMIC_POSITIONS crystal
Pb 0.000 0.000 0.000
Pb 0.750 0.250 0.500
Re 0.630 0.125 0.250
Re 0.120 0.625 0.250
Re 0.375 0.370 0.750
Re 0.875 0.880 0.750
Mg 0.500 0.500 0.000
Mg 0.250 0.750 0.500
CELL_PARAMETERS angstrom
7.688 0.000 0.000
0.000 7.688 0.000
3.844 3.844 2.691
```

=====

## 2
Here is crystalline MgRe2Pb at its relaxed geometry from Alexandria. Energies are from GGA-PBE. Values from VASP.

Crystal system: monoclinic
Density (kg/m³): 14128

```
&SYSTEM
  ibrav = 0, nat = 4, ntyp = 3
/
ATOMIC_SPECIES
Mg 24.30 Mg.upf
Pb 207.20 Pb.upf
Re 186.21 Re.upf
ATOMIC_POSITIONS crystal
Mg 0.500 0.000 0.500
Pb 0.000 0.500 0.500
Re 0.000 0.000 0.000
Re 0.500 0.500 0.000
CELL_PARAMETERS angstrom
5.574 -0.003 -0.015
-2.684 4.886 -0.015
0.651 1.099 2.600
```

=====

## 3
Here is crystalline MgRe2Pb at its relaxed geometry from Alexandria. Energies are from GGA-PBE. Values from VASP.

Crystal system: orthorhombic
Density (kg/m³): 13606

```
&SYSTEM
  ibrav = 0, nat = 4, ntyp = 3
/
ATOMIC_SPECIES
Mg 24.30 Mg.upf
Pb 207.20 Pb.upf
Re 186.21 Re.upf
ATOMIC_POSITIONS crystal
Mg 0.507 0.507 0.000
Pb 0.236 0.736 0.500
Re 0.970 0.970 0.000
Re 0.787 0.287 0.500
CELL_PARAMETERS angstrom
-4.608 1.845 -0.518
-0.899 -0.345 -4.896
1.381 -3.418 3.363
```

=====

Of them, the most stable is 3 and the least stable is 1.

=====

## 1
Here is crystalline MgRe2Pb at its relaxed geometry from Alexandria. Energies are from GGA-PBE. Values from VASP.

Crystal system: orthorhombic
Density (kg/m³): 13569

```
&SYSTEM
  ibrav = 0, nat = 4, ntyp = 3
/
ATOMIC_SPECIES
Mg 24.30 Mg.upf
Pb 207.20 Pb.upf
Re 186.21 Re.upf
ATOMIC_POSITIONS crystal
Mg 0.500 0.500 0.250
Pb 0.500 0.500 0.750
Re 0.000 0.000 0.022
Re 0.000 0.000 0.478
CELL_PARAMETERS angstrom
2.802 -0.022 0.000
-0.926 2.644 0.000
0.000 0.000 10.002
```

=====

## 2
Here is crystalline MgRe2Pb at its relaxed geometry from Alexandria. Energies are from GGA-PBE. Values from VASP.

Crystal system: monoclinic
Density (kg/m³): 13447

```
&SYSTEM
  ibrav = 0, nat = 4, ntyp = 3
/
ATOMIC_SPECIES
Mg 24.30 Mg.upf
Pb 207.20 Pb.upf
Re 186.21 Re.upf
ATOMIC_POSITIONS crystal
Mg 0.500 0.250 0.250
Pb 0.500 0.750 0.750
Re 0.000 0.900 0.041
Re 0.000 0.600 0.459
CELL_PARAMETERS angstrom
4.707 0.000 0.000
0.000 2.889 0.006
0.000 0.375 5.484
```

=====

Of them, the most stable is 2 and the least stable is 1.

=====

## 1
Here is crystalline MgRe2Pb at its relaxed geometry from Alexandria. Energies are from GGA-PBE. Values from VASP.

Crystal system: orthorhombic
Density (kg/m³): 14003

```
&SYSTEM
  ibrav = 0, nat = 4, ntyp = 3
/
ATOMIC_SPECIES
Mg 24.30 Mg.upf
Pb 207.20 Pb.upf
Re 186.21 Re.upf
ATOMIC_POSITIONS crystal
Mg 0.500 0.000 0.500
Pb 0.000 0.500 0.500
Re 0.000 0.000 0.000
Re 0.500 0.500 0.000
CELL_PARAMETERS angstrom
5.159 0.009 0.000
-2.234 4.650 0.000
0.000 0.000 2.983
```

=====

## 2
Here is crystalline MgRe2Pb at its relaxed geometry from Alexandria. Energies are from GGA-PBE. Values from VASP.

Crystal system: tetragonal
Density (kg/m³): 12503

```
&SYSTEM
  ibrav = 0, nat = 4, ntyp = 3
/
ATOMIC_SPECIES
Mg 24.30 Mg.upf
Pb 207.20 Pb.upf
Re 186.21 Re.upf
ATOMIC_POSITIONS crystal
Mg 0.000 0.000 0.441
Pb 0.500 0.500 0.785
Re 0.000 0.000 0.055
Re 0.500 0.500 0.219
CELL_PARAMETERS angstrom
3.092 0.000 0.000
0.000 3.092 0.000
0.000 0.000 8.390
```

=====

## 3
Here is crystalline MgRe2Pb at its relaxed geometry from Alexandria. Energies are from GGA-PBE. Values from VASP.

Crystal system: cubic
Density (kg/m³): 14418

```
&SYSTEM
  ibrav = 0, nat = 4, ntyp = 3
/
ATOMIC_SPECIES
Pb 207.20 Pb.upf
Re 186.21 Re.upf
Mg 24.30 Mg.upf
ATOMIC_POSITIONS crystal
Pb 0.500 0.500 0.500
Re 0.250 0.250 0.250
Re 0.750 0.750 0.750
Mg 0.000 0.000 0.000
CELL_PARAMETERS angstrom
0.000 3.264 3.264
3.264 0.000 3.264
3.264 3.264 0.000
```

=====

Of them, the most stable is 2 and the least stable is 3.

=====

## 1
Here is crystalline MgRe2Pb at its relaxed geometry from Alexandria. Energies are from GGA-PBE. Values from VASP.

Crystal system: cubic
Density (kg/m³): 14340

```
&SYSTEM
  ibrav = 0, nat = 4, ntyp = 3
/
ATOMIC_SPECIES
Mg 24.30 Mg.upf
Pb 207.20 Pb.upf
Re 186.21 Re.upf
ATOMIC_POSITIONS crystal
Mg 0.500 0.500 0.500
Pb 0.750 0.750 0.750
Re 0.000 0.000 0.000
Re 0.250 0.250 0.250
CELL_PARAMETERS angstrom
-3.345 0.140 -3.190
-1.085 -3.813 -2.381
-4.025 -2.142 0.774
```

=====

## 2
Here is crystalline MgRe2Pb at its relaxed geometry from Alexandria. Energies are from GGA-PBE. Values from VASP.

Crystal system: orthorhombic
Density (kg/m³): 12973

```
&SYSTEM
  ibrav = 0, nat = 4, ntyp = 3
/
ATOMIC_SPECIES
Mg 24.30 Mg.upf
Pb 207.20 Pb.upf
Re 186.21 Re.upf
ATOMIC_POSITIONS crystal
Mg 0.000 0.000 0.465
Pb 0.500 0.500 0.766
Re 0.000 0.000 0.034
Re 0.500 0.500 0.235
CELL_PARAMETERS angstrom
2.926 -0.017 0.000
-1.209 2.664 0.000
0.000 0.000 9.942
```

=====

Of them, the most stable is 2 and the least stable is 1.